First-principles (PBE) data for a relaxed structure of LiTlSbPb, as listed in Alexandria.

a b c (Å): 5.404 5.404 5.404
angles (deg): 60.00 60.00 60.00
Fractional positions:
Li  0.000  0.000  0.000
Tl  0.750  0.750  0.750
Sb  0.250  0.250  0.250
Pb  0.500  0.500  0.500

Computed properties:
Theoretical density: 8.041 g/cm3
Formation energy without anion corrections: -71.5 meV per atom
Total magnetic moment: 0.00 μB/f.u.
Space group: F-43m (216)